# BaHf2PtSe (SCAN, PBEsol geometry)
# ΔE_f (raw): 11.35 eV/f.u.
# Crystal system: tetragonal
data_BaHf2PtSe
_chemical_formula_sum 'Ba1 Hf2 Pt1 Se1'
_cell_length_a 5.255
_cell_length_b 5.255
_cell_length_c 5.266
_cell_angle_alpha 90.00
_cell_angle_beta 90.00
_cell_angle_gamma 90.00
_space_group_name_H-M_alt 'P 1'
_space_group_IT_number 1
_space_group_name_Hall 'P 1'
loop_
_atom_site_label
_atom_site_type_symbol
_atom_site_fract_x
_atom_site_fract_y
_atom_site_fract_z
Se1 Se 0.000 0.000 0.500
Pt1 Pt 0.500 0.500 0.500
Ba1 Ba 0.000 0.000 0.000
Hf1 Hf 0.000 0.500 0.000
Hf2 Hf 0.500 0.000 0.000



# RbBaHf2Tl (SCAN, PBEsol geometry)
# E_form: 1792 meV per atom
# Crystal system: tetragonal
data_RbBaHf2Tl
_chemical_formula_sum 'Rb1 Ba1 Hf2 Tl1'
_cell_length_a 5.452
_cell_length_b 5.452
_cell_length_c 6.163
_cell_angle_alpha 90.00
_cell_angle_beta 90.00
_cell_angle_gamma 90.00
_space_group_name_H-M_alt 'P 1'
_space_group_IT_number 1
_space_group_name_Hall 'P 1'
loop_
_atom_site_label
_atom_site_type_symbol
_atom_site_fract_x
_atom_site_fract_y
_atom_site_fract_z
Hf1 Hf 0.500 0.000 0.000
Ba1 Ba 0.000 0.000 0.000
Tl1 Tl 0.500 0.500 0.500
Hf2 Hf 0.000 0.500 0.000
Rb1 Rb 0.000 0.000 0.500



# BaHf3Re (SCAN, PBEsol geometry)
# E_form: 2808 meV per atom
# Crystal system: cubic
data_BaHf3Re
_chemical_formula_sum 'Ba1 Hf3 Re1'
_cell_length_a 5.043
_cell_length_b 5.043
_cell_length_c 5.043
_cell_angle_alpha 90.00
_cell_angle_beta 90.00
_cell_angle_gamma 90.00
_space_group_name_H-M_alt 'P 1'
_space_group_IT_number 1
_space_group_name_Hall 'P 1'
loop_
_atom_site_label
_atom_site_type_symbol
_atom_site_fract_x
_atom_site_fract_y
_atom_site_fract_z
Re1 Re 0.500 0.500 0.500
Ba1 Ba 0.000 0.000 0.000
Hf1 Hf 0.000 0.500 0.000
Hf2 Hf 0.500 0.000 0.000
Hf3 Hf 0.000 0.000 0.500



# BaHfRh3 (SCAN, PBEsol geometry)
# E_form: 1787 meV per atom
# Crystal system: cubic
data_BaHfRh3
_chemical_formula_sum 'Ba1 Hf1 Rh3'
_cell_length_a 4.888
_cell_length_b 4.888
_cell_length_c 4.888
_cell_angle_alpha 90.00
_cell_angle_beta 90.00
_cell_angle_gamma 90.00
_space_group_name_H-M_alt 'P 1'
_space_group_IT_number 1
_space_group_name_Hall 'P 1'
loop_
_atom_site_label
_atom_site_type_symbol
_atom_site_fract_x
_atom_site_fract_y
_atom_site_fract_z
Ba1 Ba 0.000 0.000 0.000
Rh1 Rh 0.000 0.000 0.500
Rh2 Rh 0.000 0.500 0.000
Hf1 Hf 0.500 0.500 0.500
Rh3 Rh 0.500 0.000 0.000



# Ba3HfRh (SCAN, PBEsol geometry)
# E_form: 630 meV per atom
# Crystal system: cubic
data_Ba3HfRh
_chemical_formula_sum 'Ba3 Hf1 Rh1'
_cell_length_a 5.810
_cell_length_b 5.810
_cell_length_c 5.810
_cell_angle_alpha 90.00
_cell_angle_beta 90.00
_cell_angle_gamma 90.00
_space_group_name_H-M_alt 'P 1'
_space_group_IT_number 1
_space_group_name_Hall 'P 1'
loop_
_atom_site_label
_atom_site_type_symbol
_atom_site_fract_x
_atom_site_fract_y
_atom_site_fract_z
Rh1 Rh 0.000 0.000 0.000
Ba1 Ba 0.500 0.000 0.000
Ba2 Ba 0.000 0.500 0.000
Ba3 Ba 0.000 0.000 0.500
Hf1 Hf 0.500 0.500 0.500



# BaHf3Ru (SCAN, PBEsol geometry)
# E_form: 234 meV per atom
# Crystal system: cubic
data_BaHf3Ru
_chemical_formula_sum 'Ba1 Hf3 Ru1'
_cell_length_a 5.071
_cell_length_b 5.071
_cell_length_c 5.071
_cell_angle_alpha 90.00
_cell_angle_beta 90.00
_cell_angle_gamma 90.00
_space_group_name_H-M_alt 'P 1'
_space_group_IT_number 1
_space_group_name_Hall 'P 1'
loop_
_atom_site_label
_atom_site_type_symbol
_atom_site_fract_x
_atom_site_fract_y
_atom_site_fract_z
Ba1 Ba 0.500 0.500 0.500
Hf1 Hf 0.500 0.000 0.000
Hf2 Hf 0.000 0.500 0.000
Hf3 Hf 0.000 0.000 0.500
Ru1 Ru 0.000 0.000 0.000



Number 1: Fermi-level density of states 0.822 states/eV per atom. Number 2: Fermi-level density of states 1.155 states/eV per atom. Number 3: Fermi-level density of states 0.945 states/eV per atom. Number 4: Fermi-level density of states 0.845 states/eV per atom. Number 5: Fermi-level density of states 1.945 states/eV per atom. Number 6: Fermi-level density of states 1.055 states/eV per atom.